Version a
Computed, not measured: a relaxed SiSbSe2Br crystal at the PBE level of DFT.

Values from the calculation:
symmetry	P4/mmm (123)
M_tot	0.0	μB/cell

Unit cell a=5.404 b=5.404 c=5.338 alpha=90.00 beta=90.00 gamma=90.00
Element x y z (fractional)
1 Se 0.000 0.500 0.000
2 Se 0.500 0.000 0.000
3 Sb 0.000 0.000 0.000
4 Br 0.000 0.000 0.500
5 Si 0.500 0.500 0.500

---

Version b
Computed, not measured: a relaxed SiSbSe2Br crystal at the PBE level of DFT.

Values from the calculation:
symmetry	P4/mmm (123)
M_tot	0.0	μB/cell

Unit cell a=4.989 b=4.989 c=4.873 alpha=90.00 beta=90.00 gamma=90.00
Element x y z (fractional)
1 Si 0.000 0.000 0.000
2 Br 0.000 0.000 0.500
3 Sb 0.500 0.500 0.500
4 Se 0.500 0.000 0.000
5 Se 0.000 0.500 0.000

---

Unit: meV per atom. Relative energies: version a 384; version b 0.

---

Version a
Computed, not measured: a relaxed SnSbSe2Br crystal at the PBE level of DFT.

Values from the calculation:
symmetry	P4/mmm (123)
M_tot	0.0	μB/cell

Unit cell a=5.430 b=5.430 c=5.386 alpha=90.00 beta=90.00 gamma=90.00
Element x y z (fractional)
1 Sn 0.500 0.500 0.500
2 Se 0.500 0.000 0.000
3 Se 0.000 0.500 0.000
4 Br 0.000 0.000 0.500
5 Sb 0.000 0.000 0.000

---

Version b
Computed, not measured: a relaxed SnSbSe2Br crystal at the PBE level of DFT.

Values from the calculation:
symmetry	P2_1/m (11)
M_tot	0.0	μB/cell

Unit cell a=4.051 b=11.214 c=11.881 alpha=137.43 beta=90.00 gamma=90.00
Element x y z (fractional)
1 Se 0.750 0.634 0.212
2 Se 0.250 0.381 0.288
3 Se 0.250 0.366 0.788
4 Se 0.750 0.619 0.712
5 Br 0.250 0.905 0.157
6 Br 0.750 0.095 0.843
7 Sb 0.250 0.375 0.037
8 Sb 0.750 0.625 0.963
9 Sn 0.750 0.633 0.467
10 Sn 0.250 0.367 0.533

---

Unit: meV per atom. Relative energies: version a 469; version b 0.

---

Version a
Computed, not measured: a relaxed SrSbSe2Br crystal at the PBE level of DFT.

Values from the calculation:
symmetry	P4/mmm (123)
M_tot	0.0	μB/cell

Unit cell a=5.472 b=5.472 c=5.457 alpha=90.00 beta=90.00 gamma=90.00
Element x y z (fractional)
1 Sb 0.000 0.000 0.000
2 Se 0.000 0.500 0.000
3 Se 0.500 0.000 0.000
4 Br 0.000 0.000 0.500
5 Sr 0.500 0.500 0.500

---

Version b
Computed, not measured: a relaxed SrSbSe2Br crystal at the PBE level of DFT.

Values from the calculation:
symmetry	P4/mmm (123)
M_tot	0.0	μB/cell

Unit cell a=5.825 b=5.825 c=5.542 alpha=90.00 beta=90.00 gamma=90.00
Element x y z (fractional)
1 Se 0.500 0.000 0.000
2 Se 0.000 0.500 0.000
3 Sb 0.500 0.500 0.500
4 Sr 0.000 0.000 0.000
5 Br 0.000 0.000 0.500

---

Unit: meV per atom. Relative energies: version a 0; version b 707.